# EuPd2 (PBE, relaxed)
data_EuPd2
_chemical_formula_sum 'Eu2 Pd4'
_cell_length_a 5.536
_cell_length_b 5.536
_cell_length_c 5.536
_cell_angle_alpha 60.00
_cell_angle_beta 60.00
_cell_angle_gamma 60.00
_space_group_name_H-M_alt 'P 1'
_space_group_IT_number 1
_space_group_name_Hall 'P 1'
loop_
_atom_site_label
_atom_site_fract_x
_atom_site_fract_y
_atom_site_fract_z
Pd1 0.125 0.125 0.625
Eu1 0.750 0.750 0.750
Pd2 0.125 0.625 0.125
Eu2 0.500 0.500 0.500
Pd3 0.125 0.125 0.125
Pd4 0.625 0.125 0.125
# D(E_F) = 3.434 states/eV/atom
# space group = Fd-3m, No. 227
# energy relative to the elements = -701.2 meV per atom
# E = -0.27885 Ha/atom
# theoretical density = 10.10 g cm⁻³
# crystal system = cubic
# volume = 120 Å³ per cell

# La5Nd3Sm (PBE, relaxed)
data_La5Nd3Sm
_chemical_formula_sum 'La10 Nd6 Sm2'
_cell_length_a 9.042
_cell_length_b 9.042
_cell_length_c 10.212
_cell_angle_alpha 116.27
_cell_angle_beta 116.27
_cell_angle_gamma 90.00
_space_group_name_H-M_alt 'P 1'
_space_group_IT_number 1
_space_group_name_Hall 'P 1'
loop_
_atom_site_label
_atom_site_fract_x
_atom_site_fract_y
_atom_site_fract_z
Nd1 0.250 0.250 0.500
Nd2 0.118 0.382 0.000
Nd3 0.750 0.750 0.500
La1 0.564 0.658 0.722
La2 0.000 0.000 0.000
La3 0.842 0.936 0.278
Nd4 0.382 0.882 0.000
Nd5 0.618 0.118 0.000
La4 0.500 0.500 0.000
Nd6 0.882 0.618 0.000
La5 0.158 0.064 0.722
La6 0.064 0.564 0.722
La7 0.342 0.842 0.278
Sm1 0.250 0.750 0.500
La8 0.658 0.158 0.722
La9 0.936 0.436 0.278
Sm2 0.750 0.250 0.500
La10 0.436 0.342 0.278
# D(E_F) = 1.803 states/eV/atom
# space group = I4/mcm, No. 140
# energy relative to the elements = 241.4 meV per atom
# E = -0.16940 Ha/atom
# theoretical density = 6.52 g cm⁻³
# crystal system = tetragonal
# volume = 651 Å³ per cell

# BaNdCdAg (PBE, relaxed)
data_BaNdCdAg
_chemical_formula_sum 'Ba1 Nd1 Cd1 Ag1'
_cell_length_a 5.638
_cell_length_b 5.638
_cell_length_c 5.638
_cell_angle_alpha 60.00
_cell_angle_beta 60.00
_cell_angle_gamma 60.00
_space_group_name_H-M_alt 'P 1'
_space_group_IT_number 1
_space_group_name_Hall 'P 1'
loop_
_atom_site_label
_atom_site_fract_x
_atom_site_fract_y
_atom_site_fract_z
Cd1 0.000 0.000 0.000
Ba1 0.250 0.250 0.250
Nd1 0.750 0.750 0.750
Ag1 0.500 0.500 0.500
# D(E_F) = 0.894 states/eV/atom
# space group = F-43m, No. 216
# energy relative to the elements = -165.7 meV per atom
# E = -0.10216 Ha/atom
# theoretical density = 6.58 g cm⁻³
# crystal system = cubic
# volume = 127 Å³ per cell

# LiInPbI4 (PBE, relaxed)
data_LiInPbI4
_chemical_formula_sum 'Li2 In2 Pb2 I8'
_cell_length_a 9.164
_cell_length_b 9.481
_cell_length_c 9.481
_cell_angle_alpha 61.22
_cell_angle_beta 61.10
_cell_angle_gamma 61.10
_space_group_name_H-M_alt 'P 1'
_space_group_IT_number 1
_space_group_name_Hall 'P 1'
loop_
_atom_site_label
_atom_site_fract_x
_atom_site_fract_y
_atom_site_fract_z
Pb1 0.000 0.500 0.500
I1 0.759 0.255 0.226
I2 0.761 0.741 0.241
Li1 0.642 0.608 0.108
I3 0.759 0.726 0.755
I4 0.239 0.259 0.759
In1 0.000 0.000 0.500
In2 0.500 0.000 0.500
I5 0.241 0.745 0.774
I6 0.241 0.274 0.245
Pb2 0.000 0.000 0.000
I7 0.256 0.741 0.241
Li2 0.358 0.392 0.892
I8 0.744 0.259 0.759
# D(E_F) = 0.000 states/eV/atom
# space group = Imma, No. 74
# E = -0.10278 Ha/atom
# theoretical density = 4.65 g cm⁻³
# crystal system = orthorhombic
# volume = 597 Å³ per cell
# formation energy without anion corrections = -5.0 eV/f.u.

# EuTm3Rh (PBE, relaxed)
data_EuTm3Rh
_chemical_formula_sum 'Eu1 Tm3 Rh1'
_cell_length_a 5.394
_cell_length_b 5.394
_cell_length_c 5.394
_cell_angle_alpha 90.00
_cell_angle_beta 90.00
_cell_angle_gamma 90.00
_space_group_name_H-M_alt 'P 1'
_space_group_IT_number 1
_space_group_name_Hall 'P 1'
loop_
_atom_site_label
_atom_site_fract_x
_atom_site_fract_y
_atom_site_fract_z
Eu1 0.500 0.500 0.500
Tm1 0.500 0.000 0.000
Rh1 0.000 0.000 0.000
Tm2 0.000 0.500 0.000
Tm3 0.000 0.000 0.500
# D(E_F) = 1.106 states/eV/atom
# space group = Pm-3m, No. 221
# energy relative to the elements = -335.2 meV per atom
# E = -0.24046 Ha/atom
# theoretical density = 8.06 g cm⁻³
# crystal system = cubic
# volume = 157 Å³ per cell

# Pr3Y2Ho (PBE, relaxed)
data_Pr3Y2Ho
_chemical_formula_sum 'Pr6 Y4 Ho2'
_cell_length_a 5.184
_cell_length_b 10.147
_cell_length_c 9.612
_cell_angle_alpha 121.86
_cell_angle_beta 105.64
_cell_angle_gamma 90.01
_space_group_name_H-M_alt 'P 1'
_space_group_IT_number 1
_space_group_name_Hall 'P 1'
loop_
_atom_site_label
_atom_site_fract_x
_atom_site_fract_y
_atom_site_fract_z
Pr1 0.166 0.416 0.332
Y1 0.334 0.334 0.668
Y2 0.666 0.166 0.333
Pr2 0.166 0.916 0.332
Y3 0.334 0.834 0.667
Pr3 0.500 0.750 0.000
Pr4 0.834 0.084 0.668
Ho1 0.000 0.500 0.000
Pr5 0.500 0.250 0.000
Y4 0.666 0.666 0.332
Pr6 0.834 0.584 0.668
Ho2 0.000 0.000 0.000
# D(E_F) = 1.392 states/eV/atom
# space group = Cmmm, No. 65
# energy relative to the elements = 14.9 meV per atom
# E = -0.19450 Ha/atom
# theoretical density = 6.24 g cm⁻³
# crystal system = orthorhombic
# volume = 407 Å³ per cell

# Mg2As (PBE, relaxed)
data_Mg2As
_chemical_formula_sum 'Mg4 As2'
_cell_length_a 6.836
_cell_length_b 6.836
_cell_length_c 6.836
_cell_angle_alpha 147.25
_cell_angle_beta 131.65
_cell_angle_gamma 59.63
_space_group_name_H-M_alt 'P 1'
_space_group_IT_number 1
_space_group_name_Hall 'P 1'
loop_
_atom_site_label
_atom_site_fract_x
_atom_site_fract_y
_atom_site_fract_z
Mg1 0.746 0.500 0.246
Mg2 0.254 0.500 0.754
As1 0.643 0.143 0.500
As2 0.357 0.857 0.500
Mg3 0.198 0.198 0.000
Mg4 0.802 0.802 0.000
# D(E_F) = 0.194 states/eV/atom
# space group = Immm, No. 71
# energy relative to the elements = -360.9 meV per atom
# E = -0.10928 Ha/atom
# theoretical density = 3.21 g cm⁻³
# crystal system = orthorhombic
# volume = 128 Å³ per cell

# Sm3Ni7Ag2 (PBE, relaxed)
data_Sm3Ni7Ag2
_chemical_formula_sum 'Sm3 Ni7 Ag2'
_cell_length_a 5.170
_cell_length_b 5.170
_cell_length_c 8.937
_cell_angle_alpha 73.19
_cell_angle_beta 73.19
_cell_angle_gamma 60.00
_space_group_name_H-M_alt 'P 1'
_space_group_IT_number 1
_space_group_name_Hall 'P 1'
loop_
_atom_site_label
_atom_site_fract_x
_atom_site_fract_y
_atom_site_fract_z
Ni1 0.412 0.412 0.263
Ni2 0.500 0.500 0.500
Ag1 0.667 0.667 0.000
Ni3 0.086 0.588 0.737
Ni4 0.914 0.412 0.263
Sm1 0.000 0.000 0.000
Ni5 0.412 0.914 0.263
Ag2 0.333 0.333 0.000
Sm2 0.861 0.861 0.417
Sm3 0.139 0.139 0.583
Ni6 0.588 0.086 0.737
Ni7 0.588 0.588 0.737
# D(E_F) = 0.808 states/eV/atom
# space group = R-3m, No. 166
# energy relative to the elements = -272.4 meV per atom
# E = -0.19477 Ha/atom
# theoretical density = 9.18 g cm⁻³
# crystal system = trigonal
# volume = 195 Å³ per cell

# Cs2GaBiSe4 (PBE, relaxed)
data_Cs2GaBiSe4
_chemical_formula_sum 'Cs4 Ga2 Bi2 Se8'
_cell_length_a 6.714
_cell_length_b 8.285
_cell_length_c 13.422
_cell_angle_alpha 84.18
_cell_angle_beta 75.52
_cell_angle_gamma 66.10
_space_group_name_H-M_alt 'P 1'
_space_group_IT_number 1
_space_group_name_Hall 'P 1'
loop_
_atom_site_label
_atom_site_fract_x
_atom_site_fract_y
_atom_site_fract_z
Se1 0.860 0.806 0.892
Bi1 0.000 0.000 0.000
Ga1 0.500 0.000 0.000
Bi2 0.750 0.500 0.500
Se2 0.334 0.806 0.108
Se3 0.890 0.694 0.608
Cs1 0.569 0.500 0.862
Se4 0.248 0.194 0.892
Cs2 0.181 0.000 0.638
Cs3 0.819 0.000 0.362
Se5 0.192 0.306 0.392
Se6 0.558 0.194 0.108
Se7 0.416 0.694 0.392
Ga2 0.250 0.500 0.500
Cs4 0.931 0.500 0.138
Se8 0.502 0.306 0.608
# D(E_F) = 0.000 states/eV/atom
# space group = Fddd, No. 70
# E = -0.13285 Ha/atom
# theoretical density = 4.32 g cm⁻³
# crystal system = orthorhombic
# volume = 661 Å³ per cell
# formation energy without anion corrections = -6.4 eV/f.u.

# CeTmAlIn (PBE, relaxed)
data_CeTmAlIn
_chemical_formula_sum 'Ce1 Tm1 Al1 In1'
_cell_length_a 5.246
_cell_length_b 5.246
_cell_length_c 5.246
_cell_angle_alpha 60.00
_cell_angle_beta 60.00
_cell_angle_gamma 60.00
_space_group_name_H-M_alt 'P 1'
_space_group_IT_number 1
_space_group_name_Hall 'P 1'
loop_
_atom_site_label
_atom_site_fract_x
_atom_site_fract_y
_atom_site_fract_z
In1 0.250 0.250 0.250
Ce1 0.000 0.000 0.000
Al1 0.750 0.750 0.750
Tm1 0.500 0.500 0.500
# D(E_F) = 1.626 states/eV/atom
# space group = F-43m, No. 216
# energy relative to the elements = -338.6 meV per atom
# E = -0.16758 Ha/atom
# theoretical density = 7.33 g cm⁻³
# crystal system = cubic
# volume = 102 Å³ per cell

# NaTi2Al (PBE, relaxed)
data_NaTi2Al
_chemical_formula_sum 'Na2 Ti4 Al2'
_cell_length_a 3.935
_cell_length_b 3.935
_cell_length_c 10.692
_cell_angle_alpha 79.40
_cell_angle_beta 79.40
_cell_angle_gamma 90.00
_space_group_name_H-M_alt 'P 1'
_space_group_IT_number 1
_space_group_name_Hall 'P 1'
loop_
_atom_site_label
_atom_site_fract_x
_atom_site_fract_y
_atom_site_fract_z
Al1 0.000 0.000 0.000
Al2 0.750 0.250 0.500
Ti1 0.101 0.625 0.250
Ti2 0.649 0.125 0.250
Ti3 0.875 0.899 0.750
Ti4 0.375 0.351 0.750
Na1 0.500 0.500 0.000
Na2 0.250 0.750 0.500
# D(E_F) = 1.372 states/eV/atom
# space group = I-42d, No. 122
# energy relative to the elements = 697.2 meV per atom
# E = -0.16595 Ha/atom
# theoretical density = 3.03 g cm⁻³
# crystal system = tetragonal
# volume = 160 Å³ per cell

# Zr2Tl2NiSe6 (PBE, relaxed)
data_Zr2Tl2NiSe6
_chemical_formula_sum 'Zr2 Tl2 Ni1 Se6'
_cell_length_a 6.612
_cell_length_b 6.612
_cell_length_c 8.258
_cell_angle_alpha 98.20
_cell_angle_beta 98.20
_cell_angle_gamma 119.94
_space_group_name_H-M_alt 'P 1'
_space_group_IT_number 1
_space_group_name_Hall 'P 1'
loop_
_atom_site_label
_atom_site_fract_x
_atom_site_fract_y
_atom_site_fract_z
Zr1 0.332 0.668 0.500
Se1 0.610 0.929 0.307
Tl1 0.827 0.173 0.000
Se2 0.390 0.071 0.693
Se3 0.749 0.749 0.689
Se4 0.071 0.390 0.693
Se5 0.929 0.610 0.307
Se6 0.251 0.251 0.311
Ni1 0.000 0.000 0.500
Tl2 0.173 0.827 0.000
Zr2 0.668 0.332 0.500
# D(E_F) = 0.020 states/eV/atom
# space group = C2/m, No. 12
# E = -0.19258 Ha/atom
# theoretical density = 6.22 g cm⁻³
# crystal system = monoclinic
# volume = 300 Å³ per cell
# formation energy without anion corrections = -9.1 eV/f.u.